[1]
VASP calculation (GGA-PBE) on a relaxed structure of ScNi2Br.

Calculated values
The value obtained for the spin magnetization is 0.00 μB per formula unit. The calculation puts the energy above the lowest structure with this stoichiometry at 531 meV per atom.

a b c (Å): 7.513 7.513 7.513
angles (deg): 25.62 25.62 25.62
Sites, in units of the cell vectors:
Ni1 0.000 0.000 0.000
Ni2 0.500 0.500 0.500
Br1 0.750 0.750 0.750
Sc1 0.250 0.250 0.250

[2]
VASP calculation (GGA-PBE) on a relaxed structure of IrO2F.

Calculated values
The value obtained for the spin magnetization is 0.00 μB per formula unit. The calculation puts the energy above the lowest structure with this stoichiometry at 687 meV per atom.

a b c (Å): 5.097 5.097 5.984
angles (deg): 64.80 64.80 90.00
Sites, in units of the cell vectors:
O1 0.875 0.993 0.750
Ir1 0.750 0.250 0.500
Ir2 0.000 0.000 0.000
O2 0.375 0.257 0.750
F1 0.500 0.500 0.000
O3 0.007 0.625 0.250
F2 0.250 0.750 0.500
O4 0.743 0.125 0.250